First-principles (GGA-PBE) data for ReSbIr2 after structural relaxation, as listed in Alexandria.

a b c (Å): 4.779 4.779 5.069
angles (deg): 77.63 77.63 35.28
Fractional coordinates of all 4 atoms:
1 Sb 0.247 0.247 0.231
2 Ir 0.995 0.995 0.996
3 Ir 0.755 0.755 0.731
4 Re 0.503 0.503 0.542

Properties
For the calculated total energy, the calculation gives -8.3218 eV per atom. For the density of states at the Fermi level, the calculation gives 2.86 states/eV/cell. For the uncorrected formation energy, the calculation gives 251 meV/atom.